Here is crystalline V2Hg2O7 at its relaxed geometry from Alexandria via LeMat-Bulk. Energies are from GGA+U.

Cell: 3.6921 7.2828 22.0366 Å, 90.00 90.00 90.00°
Closest atoms and distances in Å follow each position.
Atoms (fractional coordinates):
V 0.7500 0.0238 0.8820  2 O 1.70-1.72
V 0.7500 0.5238 0.6180  2 O 1.70-1.72
V 0.2500 0.9762 0.1180  2 O 1.70-1.72
V 0.2500 0.4762 0.3820  2 O 1.70-1.72
V 0.2500 0.2022 0.9799  2 O 1.66-1.74
V 0.2500 0.7022 0.5201  2 O 1.66-1.74
V 0.7500 0.7978 0.0201  2 O 1.66-1.74
V 0.7500 0.2978 0.4799  2 O 1.66-1.74
Hg 0.2500 0.2758 0.7525  2 O 2.12-2.13
Hg 0.2500 0.7758 0.7475  2 O 2.12-2.13
Hg 0.7500 0.7242 0.2475  2 O 2.12-2.13
Hg 0.7500 0.2242 0.2525  2 O 2.12-2.13
Hg 0.2500 0.4661 0.1280  4 O 2.27-2.44
Hg 0.2500 0.9661 0.3720  4 O 2.27-2.44
Hg 0.7500 0.5339 0.8720  4 O 2.27-2.44
Hg 0.7500 0.0339 0.6280  4 O 2.27-2.44
O 0.2500 0.5307 0.7997  2 Hg 2.12-2.13
O 0.2500 0.0307 0.7003  2 Hg 2.12-2.13
O 0.7500 0.4693 0.2003  2 Hg 2.12-2.13
O 0.7500 0.9693 0.2997  2 Hg 2.12-2.13
O 0.7500 0.8608 0.8268  1 V 1.70
O 0.7500 0.3608 0.6732  1 V 1.70
O 0.2500 0.1392 0.1732  1 V 1.70
O 0.2500 0.6392 0.3268  1 V 1.70
O 0.7500 0.2245 0.8405  1 V 1.72
O 0.7500 0.7245 0.6595  1 V 1.72
O 0.2500 0.7755 0.1595  1 V 1.72
O 0.2500 0.2755 0.3405  1 V 1.72
O 0.7500 0.1268 0.9712  3 V 1.94-2.10
O 0.7500 0.6268 0.5288  3 V 1.94-2.10
O 0.2500 0.8732 0.0288  3 V 1.94-2.10
O 0.2500 0.3732 0.4712  3 V 1.94-2.10
O 0.2500 0.0315 0.9055  3 V 1.92-2.06
O 0.2500 0.5315 0.5945  3 V 1.92-2.06
O 0.7500 0.9685 0.0945  3 V 1.92-2.06
O 0.7500 0.4685 0.4055  3 V 1.92-2.06
O 0.2500 0.4063 0.9461  1 V 1.66
O 0.2500 0.9063 0.5539  1 V 1.66
O 0.7500 0.5937 0.0539  1 V 1.66
O 0.7500 0.0937 0.4461  1 V 1.66
O 0.2500 0.2380 0.0578  1 V 1.74
O 0.2500 0.7380 0.4422  1 V 1.74
O 0.7500 0.7620 0.9422  1 V 1.74
O 0.7500 0.2620 0.5578  1 V 1.74

Summary:
As for the total magnetization: 0.00 μB per cell. The space-group type is No. 62. For the uncorrected energy, the calculation gives -5.84 eV/atom.